Entry from Alexandria: a relaxed structure of Y5RhAu4 (GGA-PBE).

Magnetic moment   0.00 Bohr magnetons per cell
ΔE_f   -855 meV per atom

Unit cell a=3.5708 b=3.5708 c=17.9018 alpha=90.00 beta=90.00 gamma=90.00
With the nearest neighbours (Å) after each atom.
Space group P4/mmm (No. 123)
One atom of each set of equivalent atoms:
Y1 0.0000 0.0000 0.0000  8 Au 3.11
Y2 0.0000 0.0000 0.2047  8 Au 3.10-3.13
Y3 0.0000 0.0000 0.4078  4 Rh 3.02, 4 Au 3.12, 1 Y 3.30
Rh1 0.5000 0.5000 0.5000  8 Y 3.02
Au1 0.5000 0.5000 0.1012  8 Y 3.11-3.13
Au2 0.5000 0.5000 0.3055  8 Y 3.10-3.12

Entry from Alexandria: a relaxed structure of Sm2Ga3GeRh4 (GGA-PBE).

Magnetic moment   0.00 Bohr magnetons per cell
ΔE_f   -807 meV per atom

Unit cell a=4.3334 b=4.3334 c=9.8540 alpha=90.00 beta=90.00 gamma=90.00
With the nearest neighbours (Å) after each atom.
Space group P-4m2 (No. 115)
One atom of each set of equivalent atoms:
Sm1 0.0000 0.5000 0.2404  8 Rh 3.21-3.34, 6 Ga 3.27-3.35, 2 Ge 3.35
Ga1 0.0000 0.5000 0.8741  5 Rh 2.46-2.50
Ga2 0.5000 0.5000 0.5000  4 Rh 2.49
Ge1 0.0000 0.0000 0.5000  4 Rh 2.49
Rh1 0.0000 0.0000 0.0000  4 Ga 2.50
Rh2 0.0000 0.5000 0.6241  3 Ga 2.46-2.49, 2 Ge 2.49
Rh3 0.5000 0.5000 0.0000  4 Ga 2.50

Entry from Alexandria: a relaxed structure of NaCe2SmSe4 (GGA-PBE).

Uncorrected formation energy   -1.72 eV per atom
Magnetic moment   2.40 Bohr magnetons per cell

Unit cell a=7.3012 b=4.1995 c=7.3052 alpha=90.00 beta=109.34 gamma=90.00
With the nearest neighbours (Å) after each atom.
Space group P2/m (No. 10)
One atom of each set of equivalent atoms:
Na1 0.0000 0.0000 0.0000  6 Se 2.96-2.98
Ce1 0.0000 0.5000 0.5000  6 Se 2.99-3.00
Ce2 0.5000 0.0000 0.5000  6 Se 2.98-3.00
Sm1 0.5000 0.5000 0.0000  6 Se 2.96
Se1 0.2506 0.0000 0.7543  1 Na 2.96, 2 Sm 2.96, 3 Ce 2.99-3.00
Se2 0.2513 0.5000 0.2482  1 Sm 2.96, 2 Na 2.98, 3 Ce 2.98-3.00

Entry from Alexandria: a relaxed structure of ZnCF3 (GGA-PBE).

Uncorrected formation energy   -0.13 eV per atom
Magnetic moment   1.00 Bohr magnetons per cell
Excess energy over the best structure of this formula in the dataset   0.000 eV/atom

Unit cell a=4.0038 b=4.0038 c=4.0038 alpha=90.00 beta=90.00 gamma=90.00
With the nearest neighbours (Å) after each atom.
Space group Pm-3m (No. 221)
One atom of each set of equivalent atoms:
Zn1 0.0000 0.0000 0.0000  6 F 2.00
C1 0.5000 0.5000 0.5000  12 F 2.83
F1 0.0000 0.0000 0.5000  2 Zn 2.00

Entry from Alexandria: a relaxed structure of SrRe2Rh2 (GGA-PBE).

Magnetic moment   0.00 Bohr magnetons per cell
ΔE_f   287 meV per atom

Unit cell a=4.4040 b=4.4040 c=10.1879 alpha=90.00 beta=90.00 gamma=90.00
With the nearest neighbours (Å) after each atom.
Space group I4/mmm (No. 139)
One atom of each set of equivalent atoms:
Sr1 0.0000 0.0000 0.0000  8 Re 3.33, 8 Rh 3.37
Re1 0.0000 0.0000 0.3833  1 Re 2.38, 4 Rh 2.59
Rh1 0.0000 0.5000 0.2500  4 Re 2.59

Entry from Alexandria: a relaxed structure of Pa3AsO3 (GGA-PBE).

Uncorrected formation energy   -2.43 eV per atom
Magnetic moment   5.44 Bohr magnetons per cell

Unit cell a=6.7170 b=6.7170 c=20.3161 alpha=90.00 beta=90.00 gamma=120.00
With the nearest neighbours (Å) after each atom.
Space group R-3 (No. 148, hexagonal axes)
One atom of each set of equivalent atoms:
Pa1 0.9997 0.3365 0.4066  4 O 2.32-2.34
As1 0.0000 0.0000 0.1668  6 Pa 2.93
O1 0.0013 0.6661 0.0415  4 Pa 2.32-2.34